Record 1
# HfCo | Alexandria via LeMat-Bulk | PBEsol | relaxed
data_HfCo
_chemical_formula_sum 'Hf1 Co1'
_cell_length_a 3.1070
_cell_length_b 3.1070
_cell_length_c 3.1070
_cell_angle_alpha 90.00
_cell_angle_beta 90.00
_cell_angle_gamma 90.00
_symmetry_space_group_name_H-M 'P m -3 m'
_symmetry_Int_Tables_number 221
_symmetry_space_group_name_Hall '-P 4 2 3'
loop_
_atom_site_label
_atom_site_type_symbol
_atom_site_fract_x
_atom_site_fract_y
_atom_site_fract_z
Hf1 Hf 0.0000 0.0000 0.0000
Co1 Co 0.5000 0.5000 0.5000
# - formation enthalpy at 0 K (eV/atom) = -0.4044

Record 2
# Li2ScCd2 | Alexandria via LeMat-Bulk | PBEsol | relaxed
data_Li2ScCd2
_chemical_formula_sum 'Li4 Sc2 Cd4'
_cell_length_a 7.7329
_cell_length_b 7.7329
_cell_length_c 3.0540
_cell_angle_alpha 90.00
_cell_angle_beta 90.00
_cell_angle_gamma 90.00
_symmetry_space_group_name_H-M 'P 4/m b m'
_symmetry_Int_Tables_number 127
_symmetry_space_group_name_Hall '-P 4 2ab'
loop_
_atom_site_label
_atom_site_type_symbol
_atom_site_fract_x
_atom_site_fract_y
_atom_site_fract_z
Li1 Li 0.1176 0.3824 0.0000
Sc1 Sc 0.0000 0.0000 0.0000
Cd1 Cd 0.1823 0.6823 0.5000
# - formation enthalpy at 0 K (eV/atom) = -0.1899

Record 3
# Sm2Ti3Bi2O12 | Alexandria via LeMat-Bulk | PBEsol | relaxed
data_Sm2Ti3Bi2O12
_chemical_formula_sum 'Sm4 Ti6 Bi4 O24'
_cell_length_a 3.7813
_cell_length_b 3.7813
_cell_length_c 32.5153
_cell_angle_alpha 90.00
_cell_angle_beta 90.00
_cell_angle_gamma 90.00
_symmetry_space_group_name_H-M 'I 4/m m m'
_symmetry_Int_Tables_number 139
_symmetry_space_group_name_Hall '-I 4 2'
loop_
_atom_site_label
_atom_site_type_symbol
_atom_site_fract_x
_atom_site_fract_y
_atom_site_fract_z
Sm1 Sm 0.0000 0.0000 0.0655
Ti1 Ti 0.0000 0.0000 0.3731
Ti2 Ti 0.0000 0.0000 0.5000
Bi1 Bi 0.0000 0.0000 0.2106
O1 O 0.0000 0.0000 0.3182
O2 O 0.0000 0.0000 0.4411
O3 O 0.0000 0.5000 0.0000
O4 O 0.0000 0.5000 0.1132
O5 O 0.0000 0.5000 0.2500
# - energy relative to the elements, uncorrected (eV per atom) = -2.735

Record 4
# CoTeP2 | Alexandria via LeMat-Bulk | PBEsol | relaxed
data_CoTeP2
_chemical_formula_sum 'Co1 Te1 P2'
_cell_length_a 3.1486
_cell_length_b 3.1486
_cell_length_c 6.6533
_cell_angle_alpha 90.00
_cell_angle_beta 90.00
_cell_angle_gamma 90.00
_symmetry_space_group_name_H-M 'P 4 m m'
_symmetry_Int_Tables_number 99
loop_
_symmetry_equiv_pos_as_xyz
'x,y,z'
'-y,x,z'
'-x,-y,z'
'y,-x,z'
'-x,y,z'
'y,x,z'
'x,-y,z'
'-y,-x,z'
loop_
_atom_site_label
_atom_site_type_symbol
_atom_site_fract_x
_atom_site_fract_y
_atom_site_fract_z
Co1 Co 0.0000 0.0000 0.0000
Te1 Te 0.5000 0.5000 0.2163
P1 P 0.0000 0.0000 0.6560
P2 P 0.5000 0.5000 0.7850
# - energy relative to the elements, uncorrected (eV per atom) = 0.172

Record 5
# SmS2 | Alexandria via LeMat-Bulk | PBEsol | relaxed
data_SmS2
_chemical_formula_sum 'Sm2 S4'
_cell_length_a 3.8730
_cell_length_b 3.8730
_cell_length_c 7.9929
_cell_angle_alpha 90.00
_cell_angle_beta 90.00
_cell_angle_gamma 90.00
_symmetry_space_group_name_H-M 'P 4/n m m'
_symmetry_Int_Tables_number 129
loop_
_symmetry_equiv_pos_as_xyz
'x,y,z'
'-x,-y,-z'
'-y+1/2,x,z'
'y+1/2,-x,-z'
'-x+1/2,-y+1/2,z'
'x+1/2,y+1/2,-z'
'y,-x+1/2,z'
'-y,x+1/2,-z'
'x+1/2,-y,-z'
'-x+1/2,y,z'
'-y,-x,-z'
'y,x,z'
'-x,y+1/2,-z'
'x,-y+1/2,z'
'y+1/2,x+1/2,-z'
'-y+1/2,-x+1/2,z'
loop_
_atom_site_label
_atom_site_type_symbol
_atom_site_fract_x
_atom_site_fract_y
_atom_site_fract_z
Sm1 Sm 0.2500 0.2500 0.2269
S1 S 0.2500 0.2500 0.8669
S2 S 0.2500 0.7500 0.5000
# - energy relative to the elements, uncorrected (eV per atom) = -1.778

Record 6
# BaMg2Tl | Alexandria via LeMat-Bulk | PBEsol | relaxed
data_BaMg2Tl
_chemical_formula_sum 'Ba4 Mg8 Tl4'
_cell_length_a 7.7779
_cell_length_b 7.7779
_cell_length_c 7.7779
_cell_angle_alpha 90.00
_cell_angle_beta 90.00
_cell_angle_gamma 90.00
_symmetry_space_group_name_H-M 'F -4 3 m'
_symmetry_Int_Tables_number 216
_symmetry_space_group_name_Hall 'F -4 2 3'
loop_
_atom_site_label
_atom_site_type_symbol
_atom_site_fract_x
_atom_site_fract_y
_atom_site_fract_z
Ba1 Ba 0.0000 0.0000 0.0000
Mg1 Mg 0.0000 0.0000 0.5000
Mg2 Mg 0.2500 0.2500 0.7500
Tl1 Tl 0.2500 0.2500 0.2500
# - formation enthalpy at 0 K (eV/atom) = -0.1785

Record 7
# Ta4Cu3 | Alexandria via LeMat-Bulk | PBEsol | relaxed
data_Ta4Cu3
_chemical_formula_sum 'Ta4 Cu3'
_cell_length_a 4.8959
_cell_length_b 4.8959
_cell_length_c 5.0228
_cell_angle_alpha 90.00
_cell_angle_beta 90.00
_cell_angle_gamma 120.00
_symmetry_space_group_name_H-M 'P 6/m m m'
_symmetry_Int_Tables_number 191
_symmetry_space_group_name_Hall '-P 6 2'
loop_
_atom_site_label
_atom_site_type_symbol
_atom_site_fract_x
_atom_site_fract_y
_atom_site_fract_z
Ta1 Ta 0.0000 0.0000 0.2428
Ta2 Ta 0.3333 0.6667 0.0000
Cu1 Cu 0.0000 0.5000 0.5000
# - formation enthalpy at 0 K (eV/atom) = 0.0264

Record 8
# CaRhBr | Alexandria via LeMat-Bulk | PBEsol | relaxed
data_CaRhBr
_chemical_formula_sum 'Ca4 Rh4 Br4'
_cell_length_a 6.5432
_cell_length_b 6.5432
_cell_length_c 6.5432
_cell_angle_alpha 90.00
_cell_angle_beta 90.00
_cell_angle_gamma 90.00
_symmetry_space_group_name_H-M 'F -4 3 m'
_symmetry_Int_Tables_number 216
_symmetry_space_group_name_Hall 'F -4 2 3'
loop_
_atom_site_label
_atom_site_type_symbol
_atom_site_fract_x
_atom_site_fract_y
_atom_site_fract_z
Ca1 Ca 0.0000 0.0000 0.0000
Rh1 Rh 0.2500 0.2500 0.7500
Br1 Br 0.2500 0.2500 0.2500
# - energy relative to the elements, uncorrected (eV per atom) = 0.068

Record 9
# SrPrZnRuO6 | Alexandria via LeMat-Bulk | PBEsol | relaxed
data_SrPrZnRuO6
_chemical_formula_sum 'Sr2 Pr2 Zn2 Ru2 O12'
_cell_length_a 5.5223
_cell_length_b 5.6390
_cell_length_c 9.5659
_cell_angle_alpha 90.00
_cell_angle_beta 125.22
_cell_angle_gamma 90.00
_symmetry_space_group_name_H-M 'P 1 c 1'
_symmetry_Int_Tables_number 7
loop_
_symmetry_equiv_pos_as_xyz
'x,y,z'
'x,-y,z+1/2'
loop_
_atom_site_label
_atom_site_type_symbol
_atom_site_fract_x
_atom_site_fract_y
_atom_site_fract_z
Sr1 Sr 0.0000 0.2110 0.0000
Pr1 Pr 0.4810 0.3046 0.5012
Zn1 Zn 0.7427 0.2415 0.2509
Ru1 Ru 0.2421 0.2470 0.7495
O1 O 0.0041 0.4591 0.7865
O2 O 0.0952 0.0384 0.2944
O3 O 0.4107 0.4774 0.2089
O4 O 0.4856 0.0533 0.7057
O5 O 0.5527 0.2723 0.9926
O6 O 0.9107 0.2351 0.5067
# - energy relative to the elements, uncorrected (eV per atom) = -2.122

Record 10
# AlGaCoBi2 | Alexandria via LeMat-Bulk | PBEsol | relaxed
data_AlGaCoBi2
_chemical_formula_sum 'Al1 Ga1 Co1 Bi2'
_cell_length_a 5.0836
_cell_length_b 5.0836
_cell_length_c 4.4763
_cell_angle_alpha 90.00
_cell_angle_beta 90.00
_cell_angle_gamma 90.00
_symmetry_space_group_name_H-M 'P 4/m m m'
_symmetry_Int_Tables_number 123
_symmetry_space_group_name_Hall '-P 4 2'
loop_
_atom_site_label
_atom_site_type_symbol
_atom_site_fract_x
_atom_site_fract_y
_atom_site_fract_z
Al1 Al 0.0000 0.0000 0.0000
Ga1 Ga 0.5000 0.5000 0.0000
Co1 Co 0.0000 0.0000 0.5000
Bi1 Bi 0.0000 0.5000 0.5000
# - formation enthalpy at 0 K (eV/atom) = 0.2675

Record 11
# NaAg3Sb | Alexandria via LeMat-Bulk | PBEsol | relaxed
data_NaAg3Sb
_chemical_formula_sum 'Na1 Ag3 Sb1'
_cell_length_a 4.8098
_cell_length_b 4.8098
_cell_length_c 4.8098
_cell_angle_alpha 90.00
_cell_angle_beta 90.00
_cell_angle_gamma 90.00
_symmetry_space_group_name_H-M 'P m -3 m'
_symmetry_Int_Tables_number 221
_symmetry_space_group_name_Hall '-P 4 2 3'
loop_
_atom_site_label
_atom_site_type_symbol
_atom_site_fract_x
_atom_site_fract_y
_atom_site_fract_z
Na1 Na 0.0000 0.0000 0.0000
Ag1 Ag 0.0000 0.0000 0.5000
Sb1 Sb 0.5000 0.5000 0.5000
# - energy relative to the elements, uncorrected (eV per atom) = 0.812

Record 12
# Zn2ReP | Alexandria via LeMat-Bulk | PBEsol | relaxed
data_Zn2ReP
_chemical_formula_sum 'Zn6 Re3 P3'
_cell_length_a 2.8951
_cell_length_b 2.8951
_cell_length_c 23.9433
_cell_angle_alpha 90.00
_cell_angle_beta 90.00
_cell_angle_gamma 120.00
_symmetry_space_group_name_H-M 'R 3 m'
_symmetry_Int_Tables_number 160
_symmetry_space_group_name_Hall 'R 3 -2"'
loop_
_atom_site_label
_atom_site_type_symbol
_atom_site_fract_x
_atom_site_fract_y
_atom_site_fract_z
Zn1 Zn 0.0000 0.0000 0.0000
Zn2 Zn 0.0000 0.0000 0.2471
Re1 Re 0.0000 0.0000 0.4904
P1 P 0.0000 0.0000 0.7544
# - formation enthalpy at 0 K (eV/atom) = -0.0060